(1)
# ZnH12C4NCl3

Crystalline ZnH12C4NCl3 at its relaxed geometry (PBE, the Open Quantum Materials Database).

abc: 7.1867 8.7895 15.3283
angles: 90.00 90.00 90.00
Closest atoms and distances in Å follow each position.
Sites, in units of the cell vectors:
Zn  0.0000  0.1716  0.0000  4 Cl 2.23-2.37
Zn  0.0000  0.8284  0.5000  4 Cl 2.23-2.37
Zn  0.5000  0.2736  0.0445  4 Cl 2.22-2.36
Zn  0.5000  0.7264  0.5445  4 Cl 2.22-2.36
H  0.0000  0.1466  0.5881  1 C 1.09
H  0.0000  0.4934  0.2690  1 C 1.09
H  0.0000  0.5066  0.7690  1 C 1.09
H  0.0000  0.8534  0.0881  1 C 1.09
H  0.1243  0.3199  0.5647  1 C 1.09
H  0.1243  0.6801  0.0647  1 C 1.09
H  0.1250  0.4745  0.1674  1 C 1.10
H  0.1250  0.5255  0.6674  1 C 1.10
H  0.1674  0.1222  0.7247  1 C 1.10
H  0.1674  0.2761  0.8018  1 C 1.10
H  0.1674  0.7239  0.3018  1 C 1.10
H  0.1674  0.8778  0.2247  1 C 1.10
H  0.2075  0.2612  0.3695  1 C 1.10
H  0.2075  0.7388  0.8695  1 C 1.10
H  0.2927  0.2952  0.7007  1 C 1.10
H  0.2927  0.7048  0.2007  1 C 1.10
H  0.3307  0.4232  0.4133  1 C 1.10
H  0.3307  0.5768  0.9133  1 C 1.10
H  0.3367  0.3868  0.2984  1 C 1.10
H  0.3367  0.6132  0.7984  1 C 1.10
H  0.3752  0.0441  0.3171  1 C 1.09
H  0.3750  0.0959  0.4694  1 C 1.10
H  0.3750  0.9041  0.9694  1 C 1.10
H  0.3752  0.9559  0.8171  1 C 1.09
H  0.5000  0.1653  0.2425  1 C 1.09
H  0.5000  0.2579  0.5118  1 C 1.10
H  0.5000  0.7421  0.0118  1 C 1.10
H  0.5000  0.8347  0.7425  1 C 1.09
H  0.6248  0.0441  0.3171  1 C 1.09
H  0.6250  0.0959  0.4694  1 C 1.10
H  0.6250  0.9041  0.9694  1 C 1.10
H  0.6248  0.9559  0.8171  1 C 1.09
H  0.6633  0.3868  0.2984  1 C 1.10
H  0.6633  0.6132  0.7984  1 C 1.10
H  0.6693  0.4232  0.4133  1 C 1.10
H  0.6693  0.5768  0.9133  1 C 1.10
H  0.7073  0.2952  0.7007  1 C 1.10
H  0.7073  0.7048  0.2007  1 C 1.10
H  0.7925  0.2612  0.3695  1 C 1.10
H  0.7925  0.7388  0.8695  1 C 1.10
H  0.8326  0.1222  0.7247  1 C 1.10
H  0.8326  0.2761  0.8018  1 C 1.10
H  0.8326  0.7239  0.3018  1 C 1.10
H  0.8326  0.8778  0.2247  1 C 1.10
H  0.8750  0.4745  0.1674  1 C 1.10
H  0.8750  0.5255  0.6674  1 C 1.10
H  0.8757  0.3199  0.5647  1 C 1.09
H  0.8757  0.6801  0.0647  1 C 1.09
C  0.0000  0.2705  0.5947  3 H 1.09
C  0.0000  0.4804  0.6992  3 H 1.09-1.10
C  0.0000  0.5196  0.1992  3 H 1.09-1.10
C  0.0000  0.7295  0.0947  3 H 1.09
C  0.1700  0.2461  0.7324  3 H 1.10
C  0.1700  0.7539  0.2324  3 H 1.10
C  0.3304  0.3343  0.3632  3 H 1.10
C  0.3304  0.6657  0.8632  3 H 1.10
C  0.5000  0.1133  0.3073  3 H 1.09
C  0.5000  0.1665  0.4632  3 H 1.10
C  0.5000  0.8335  0.9632  3 H 1.10
C  0.5000  0.8867  0.8073  3 H 1.09
C  0.6696  0.3343  0.3632  3 H 1.10
C  0.6696  0.6657  0.8632  3 H 1.10
C  0.8300  0.2461  0.7324  3 H 1.10
C  0.8300  0.7539  0.2324  3 H 1.10
N  0.0000  0.3105  0.6896  4 C 1.50
N  0.0000  0.6895  0.1896  4 C 1.50
N  0.5000  0.2372  0.3742  4 C 1.50
N  0.5000  0.7628  0.8742  4 C 1.50
Cl  0.0000  0.0204  0.4042  1 Zn 2.24
Cl  0.0000  0.4104  0.9510  1 Zn 2.23
Cl  0.0000  0.5896  0.4510  1 Zn 2.23
Cl  0.0000  0.9796  0.9042  1 Zn 2.24
Cl  0.2464  0.1348  0.1005  2 Zn 2.36-2.37
Cl  0.2464  0.8652  0.6005  2 Zn 2.36-2.37
Cl  0.5000  0.2674  0.8999  1 Zn 2.22
Cl  0.5000  0.4991  0.1147  1 Zn 2.26
Cl  0.5000  0.5009  0.6147  1 Zn 2.26
Cl  0.5000  0.7326  0.3999  1 Zn 2.22
Cl  0.7536  0.1348  0.1005  2 Zn 2.36-2.37
Cl  0.7536  0.8652  0.6005  2 Zn 2.36-2.37



(2)
# NbH10C4S2Cl3O

Crystalline NbH10C4S2Cl3O at its relaxed geometry (PBE, the Open Quantum Materials Database).

abc: 6.8521 7.0337 7.2956
angles: 108.77 99.65 113.86
Closest atoms and distances in Å follow each position.
Sites, in units of the cell vectors:
Nb  0.0000  0.0000  0.0000  1 O 1.75
H  0.1346  0.0346  0.5423  1 C 1.10
H  0.2169  0.5154  0.9172  1 C 1.09
H  0.2208  0.8252  0.5471  1 C 1.10
H  0.3355  0.6549  0.7659  1 C 1.10
H  0.3854  0.0548  0.4869  1 C 1.10
H  0.4236  0.4650  0.8166  1 C 1.10
H  0.4883  0.5878  0.2699  1 C 1.10
H  0.6863  0.4421  0.0426  1 C 1.10
H  0.7469  0.8480  0.4239  1 C 1.10
H  0.8046  0.4988  0.3021  1 C 1.10
C  0.2135  0.9360  0.4725  3 H 1.10
C  0.3701  0.5918  0.8798  3 H 1.09-1.10
C  0.6516  0.7074  0.2676  2 H 1.10
C  0.7788  0.5795  0.2004  2 H 1.10
S  0.0587  0.7565  0.2011  2 C 1.80-1.81
S  0.5929  0.8396  0.1054  2 C 1.80-1.81
Cl  0.1022  0.2938  0.3335  1 Nb 2.39
Cl  0.8114  0.1263  0.8087  1 Nb 2.35
Cl  0.8177  0.6171  0.7313  1 Nb 2.39
O  0.2721  0.0999  0.9835  1 Nb 1.75



(3)
# NbH6C2SCl4

Crystalline NbH6C2SCl4 at its relaxed geometry (PBE, the Open Quantum Materials Database).

abc: 6.7006 10.3953 14.6492
angles: 90.00 112.51 90.00
Closest atoms and distances in Å follow each position.
Sites, in units of the cell vectors:
Nb  0.0561  0.1456  0.0048  5 Cl 2.34-2.53
Nb  0.0561  0.3544  0.5048  5 Cl 2.34-2.53
Nb  0.9439  0.6456  0.4952  5 Cl 2.34-2.53
Nb  0.9439  0.8544  0.9952  5 Cl 2.34-2.53
H  0.0677  0.7274  0.7781  1 C 1.10
H  0.0677  0.7726  0.2781  1 C 1.10
H  0.1684  0.5322  0.1833  1 C 1.10
H  0.1684  0.9678  0.6833  1 C 1.10
H  0.1949  0.5725  0.8101  1 C 1.10
H  0.1949  0.9275  0.3101  1 C 1.10
H  0.2934  0.1226  0.7243  1 C 1.10
H  0.2934  0.3774  0.2243  1 C 1.10
H  0.3144  0.0441  0.6186  1 C 1.10
H  0.3144  0.4559  0.1186  1 C 1.10
H  0.3229  0.7108  0.8813  1 C 1.10
H  0.3229  0.7892  0.3813  1 C 1.10
H  0.6771  0.2108  0.6187  1 C 1.10
H  0.6771  0.2892  0.1187  1 C 1.10
H  0.6856  0.5441  0.8814  1 C 1.10
H  0.6856  0.9559  0.3814  1 C 1.10
H  0.7066  0.6226  0.7757  1 C 1.10
H  0.7066  0.8774  0.2757  1 C 1.10
H  0.8051  0.0725  0.6899  1 C 1.10
H  0.8051  0.4275  0.1899  1 C 1.10
H  0.8316  0.0322  0.3167  1 C 1.10
H  0.8316  0.4678  0.8167  1 C 1.10
H  0.9323  0.2274  0.7219  1 C 1.10
H  0.9323  0.2726  0.2219  1 C 1.10
C  0.1669  0.6652  0.8391  3 H 1.10
C  0.1669  0.8348  0.3391  3 H 1.10
C  0.2113  0.0608  0.6602  3 H 1.10
C  0.2113  0.4392  0.1602  3 H 1.10
C  0.7887  0.5608  0.8398  3 H 1.10
C  0.7887  0.9392  0.3398  3 H 1.10
C  0.8331  0.1652  0.6609  3 H 1.10
C  0.8331  0.3348  0.1609  3 H 1.10
S  0.0341  0.6345  0.9233  2 C 1.80
S  0.0341  0.8655  0.4233  2 C 1.80
S  0.9659  0.1345  0.5767  2 C 1.80
S  0.9659  0.3655  0.0767  2 C 1.80
Cl  0.1703  0.5233  0.4201  2 Nb 2.44-2.53
Cl  0.1703  0.9767  0.9201  2 Nb 2.44-2.53
Cl  0.2507  0.2094  0.4418  1 Nb 2.40
Cl  0.2507  0.2906  0.9418  1 Nb 2.40
Cl  0.2746  0.6983  0.6210  1 Nb 2.34
Cl  0.2746  0.8017  0.1210  1 Nb 2.34
Cl  0.3377  0.1272  0.1600  1 Nb 2.34
Cl  0.3377  0.3728  0.6600  1 Nb 2.34
Cl  0.6623  0.6272  0.3400  1 Nb 2.34
Cl  0.6623  0.8728  0.8400  1 Nb 2.34
Cl  0.7254  0.1983  0.8790  1 Nb 2.34
Cl  0.7254  0.3017  0.3790  1 Nb 2.34
Cl  0.7493  0.7094  0.0582  1 Nb 2.40
Cl  0.7493  0.7906  0.5582  1 Nb 2.40
Cl  0.8297  0.0233  0.0799  2 Nb 2.44-2.53
Cl  0.8297  0.4767  0.5799  2 Nb 2.44-2.53



(4)
# NbH6C2SeCl4

Crystalline NbH6C2SeCl4 at its relaxed geometry (PBE, the Open Quantum Materials Database).

abc: 6.6978 6.6978 22.8765
angles: 90.00 90.00 70.15
Closest atoms and distances in Å follow each position.
Sites, in units of the cell vectors:
Nb  0.0362  0.9638  0.9340  5 Cl 2.34-2.51
Nb  0.4638  0.5362  0.4340  5 Cl 2.34-2.51
Nb  0.5362  0.4638  0.5660  5 Cl 2.34-2.51
Nb  0.9638  0.0362  0.0660  5 Cl 2.34-2.51
H  0.0301  0.2092  0.7242  1 C 1.10
H  0.0518  0.6883  0.7930  1 C 1.10
H  0.0563  0.3809  0.6660  1 C 1.10
H  0.1191  0.4437  0.8340  1 C 1.10
H  0.1883  0.5518  0.2930  1 C 1.10
H  0.2092  0.0301  0.2758  1 C 1.10
H  0.2908  0.4699  0.7758  1 C 1.10
H  0.3117  0.9482  0.7930  1 C 1.10
H  0.3809  0.0563  0.3340  1 C 1.10
H  0.4437  0.1191  0.1660  1 C 1.10
H  0.4482  0.8117  0.2930  1 C 1.10
H  0.4699  0.2908  0.2242  1 C 1.10
H  0.5301  0.7092  0.7758  1 C 1.10
H  0.5518  0.1883  0.7070  1 C 1.10
H  0.5563  0.8809  0.8340  1 C 1.10
H  0.6191  0.9437  0.6660  1 C 1.10
H  0.6883  0.0518  0.2070  1 C 1.10
H  0.7092  0.5301  0.2242  1 C 1.10
H  0.7908  0.9699  0.7242  1 C 1.10
H  0.8117  0.4482  0.7070  1 C 1.10
H  0.8809  0.5563  0.1660  1 C 1.10
H  0.9437  0.6191  0.3340  1 C 1.10
H  0.9482  0.3117  0.2070  1 C 1.10
H  0.9699  0.7908  0.2758  1 C 1.10
C  0.0527  0.6811  0.3105  3 H 1.10
C  0.1811  0.5527  0.8105  3 H 1.10
C  0.3189  0.9473  0.3105  3 H 1.10
C  0.4473  0.8189  0.8105  3 H 1.10
C  0.5527  0.1811  0.1895  3 H 1.10
C  0.6811  0.0527  0.6895  3 H 1.10
C  0.8189  0.4473  0.1895  3 H 1.10
C  0.9473  0.3189  0.6895  3 H 1.10
Se  0.1551  0.8449  0.3668  2 C 1.96
Se  0.3449  0.6551  0.8668  2 C 1.96
Se  0.6551  0.3449  0.1332  2 C 1.96
Se  0.8449  0.1551  0.6332  2 C 1.96
Cl  0.1213  0.8787  0.1573  1 Nb 2.42
Cl  0.1283  0.2931  0.0708  1 Nb 2.34
Cl  0.2069  0.3717  0.4292  1 Nb 2.34
Cl  0.2456  0.7544  0.0183  2 Nb 2.43-2.51
Cl  0.2544  0.7456  0.5183  2 Nb 2.43-2.51
Cl  0.2931  0.1283  0.9292  1 Nb 2.34
Cl  0.3717  0.2069  0.5708  1 Nb 2.34
Cl  0.3787  0.6213  0.6573  1 Nb 2.42
Cl  0.6213  0.3787  0.3427  1 Nb 2.42
Cl  0.6283  0.7931  0.4292  1 Nb 2.34
Cl  0.7069  0.8717  0.0708  1 Nb 2.34
Cl  0.7456  0.2544  0.4817  2 Nb 2.43-2.51
Cl  0.7544  0.2456  0.9817  2 Nb 2.43-2.51
Cl  0.7931  0.6283  0.5708  1 Nb 2.34
Cl  0.8717  0.7069  0.9292  1 Nb 2.34
Cl  0.8787  0.1213  0.8427  1 Nb 2.42



Number 1: energy -4.792 eV/atom. Number 2: energy -5.243 eV/atom. Number 3: energy -4.889 eV/atom. Number 4: energy -4.815 eV/atom.